The following is a DFT calculation (PBEsol) of SrMnRh after structural relaxation.

a b c (Å): 4.602 4.602 4.602
angles (deg): 60.00 60.00 60.00
Element x y z (fractional)
1 Sr 0.000 0.000 0.000
2 Mn 0.500 0.500 0.500
3 Rh 0.750 0.750 0.750

## Properties
ΔE to the lowest computed polymorph (eV/atom): 0.256
V (Å³ per atom): 22.98
DFT formation energy (eV per formula unit): 1.5
Electronic total energy (eV/atom): -6.078